Record 1
First-principles (PBE) data for crystalline KSr3Pd at its relaxed geometry, as listed in the Alexandria database.

Unit cell a=6.6987 b=6.6987 c=29.3311 alpha=90.00 beta=90.00 gamma=90.00
Last column: nearest neighbours and their distance in Å.
Space group I-4m2 (No. 119)
Asymmetric unit:
K  0.0000  0.0000  0.0000 x2  4 Sr 4.41
K  0.0000  0.5000  0.2500 x2  8 Sr 3.54-3.67
Sr  0.0000  0.0000  0.2893 x4  2 Pd 3.36, 2 K 3.54
Sr  0.0000  0.2394  0.1399 x8  2 Sr 3.21-3.49
Pd  0.0000  0.5000  0.7039 x4  1 Pd 2.70

- Distance to the lowest polymorph of the same formula: 838 meV per atom
- Electronic total energy: -1.691 eV/atom
- Formation enthalpy at 0 K: 576 meV/atom

Record 2
First-principles (PBE) data for crystalline KSr2Pd at its relaxed geometry, as listed in the Alexandria database.

Unit cell a=3.8992 b=3.8992 c=11.0055 alpha=90.00 beta=90.00 gamma=90.00
Last column: nearest neighbours and their distance in Å.
Space group P4/mmm (No. 123)
Asymmetric unit:
K  0.0000  0.0000  0.0000 x1  4 K 3.90
Sr  0.5000  0.5000  0.3397 x2  4 Pd 3.27, 1 Sr 3.53
Pd  0.0000  0.0000  0.5000 x1  8 Sr 3.27

- Distance to the lowest polymorph of the same formula: 50 meV per atom
- Electronic total energy: -2.668 eV/atom
- Formation enthalpy at 0 K: -255 meV/atom

Record 3
First-principles (PBE) data for crystalline KSr2Pd at its relaxed geometry, as listed in the Alexandria database.

Unit cell a=9.9628 b=9.9628 c=7.3926 alpha=90.00 beta=90.00 gamma=90.00
Last column: nearest neighbours and their distance in Å.
Space group I-42d (No. 122)
Asymmetric unit:
K  0.0000  0.0000  0.0000 x4  2 Pd 3.70, 4 Sr 3.97
Sr  0.1386  0.2500  0.6250 x8  2 Pd 2.99
Pd  0.0000  0.0000  0.5000 x4  4 Sr 2.99

- Distance to the lowest polymorph of the same formula: 214 meV per atom
- Electronic total energy: -2.505 eV/atom
- Formation enthalpy at 0 K: -91 meV/atom

Record 4
First-principles (PBE) data for crystalline KSr3Pd at its relaxed geometry, as listed in the Alexandria database.

Unit cell a=7.8432 b=16.0137 c=7.2020 alpha=90.00 beta=90.00 gamma=90.00
Last column: nearest neighbours and their distance in Å.
Space group Cmcm (No. 63)
Asymmetric unit:
K  0.0000  0.0698  0.2500 x4  2 Pd 4.19, 10 Sr 4.22-4.58, 2 K 4.24
Sr  0.0000  0.5000  0.0000 x4  2 Pd 3.15
Sr  0.2495  0.3034  0.2500 x8  1 Pd 3.01
Pd  0.0000  0.3386  0.7500 x4  4 Sr 3.01-3.15

- Distance to the lowest polymorph of the same formula: 196 meV per atom
- Electronic total energy: -2.334 eV/atom
- Formation enthalpy at 0 K: -66 meV/atom

Record 5
First-principles (PBE) data for crystalline KSr3Pd at its relaxed geometry, as listed in the Alexandria database.

Unit cell a=14.4627 b=15.8857 c=8.0477 alpha=90.00 beta=100.40 gamma=90.00
Last column: nearest neighbours and their distance in Å.
Space group C2/c (No. 15)
Asymmetric unit:
K  0.1268  0.1833  0.1130 x8  1 Pd 3.33
Sr  0.1127  0.4246  0.9610 x8  2 Pd 3.08
Sr  0.1229  0.0805  0.6540 x8  1 Pd 3.39
Sr  0.1253  0.3254  0.5076 x8  2 Pd 3.05-3.13
Pd  0.0000  0.2499  0.7500 x4  6 Sr 3.13-3.50, 2 K 3.33
Pd  0.0000  0.4357  0.2500 x4  6 Sr 3.05-3.08

- Distance to the lowest polymorph of the same formula: 97 meV per atom
- Electronic total energy: -2.433 eV/atom
- Formation enthalpy at 0 K: -166 meV/atom

Record 6
First-principles (PBE) data for crystalline KSr2Pd at its relaxed geometry, as listed in the Alexandria database.

Unit cell a=4.4613 b=4.4665 c=11.2417 alpha=100.94 beta=90.05 gamma=119.95
Last column: nearest neighbours and their distance in Å.
Space group P1 (No. 1)
Asymmetric unit:
K  0.0000  0.0000  0.0000 x1  6 K 4.46-4.47, 6 Sr 4.61-4.66
Sr  0.2182  0.4282  0.6483 x1  3 Pd 3.05
Sr  0.7891  0.5711  0.3517 x1  3 Pd 3.05
Pd  0.5037  0.9996  0.5000 x1  6 Sr 3.05

- Distance to the lowest polymorph of the same formula: 3 meV per atom
- Electronic total energy: -2.716 eV/atom
- Formation enthalpy at 0 K: -302 meV/atom

> The highest formation enthalpy at 0 K belongs to which entry?

number 1